DFT (GGA-PBE) results for a geometry-optimized Na3IO3 structure.

Properties
E_form (uncorrected): -7.3 eV/f.u.

abc: 4.764 7.863 7.863
angles: 119.99 90.00 90.00
Element x y z (fractional)
1 Na 0.750 0.322 0.162
2 Na 0.750 0.839 0.678
3 Na 0.250 0.161 0.322
4 Na 0.250 0.678 0.838
5 Na 0.750 0.839 0.161
6 Na 0.250 0.161 0.839
7 O 0.250 0.365 0.183
8 O 0.250 0.818 0.635
9 O 0.750 0.182 0.818
10 O 0.750 0.635 0.817
11 O 0.250 0.818 0.182
12 O 0.750 0.182 0.365
13 I 0.250 0.667 0.333
14 I 0.750 0.333 0.667

DFT (GGA-PBE) results for a geometry-optimized Sm2MgSi3Ni12 structure.

Properties
D(E_F): 0.67 states/eV per atom
E_form (uncorrected): -2.8 eV/f.u.

abc: 6.305 6.305 6.305
angles: 84.86 84.86 84.86
Element x y z (fractional)
1 Ni 0.382 0.906 0.382
2 Ni 0.813 0.301 0.813
3 Ni 0.618 0.094 0.618
4 Ni 0.382 0.382 0.906
5 Ni 0.301 0.813 0.813
6 Ni 0.618 0.618 0.094
7 Ni 0.094 0.618 0.618
8 Ni 0.187 0.187 0.699
9 Ni 0.906 0.382 0.382
10 Ni 0.813 0.813 0.301
11 Ni 0.187 0.699 0.187
12 Ni 0.699 0.187 0.187
13 Si 0.000 0.500 0.000
14 Si 0.500 0.000 0.000
15 Si 0.000 0.000 0.500
16 Mg 0.000 0.000 0.000
17 Sm 0.650 0.650 0.650
18 Sm 0.350 0.350 0.350

DFT (GGA-PBE) results for a geometry-optimized ScFe6 structure.

Properties
total energy: -8.170 eV/atom
D(E_F): 1.02 states/eV per atom

abc: 4.695 7.787 9.894
angles: 90.00 90.00 90.00
Element x y z (fractional)
1 Sc 0.750 0.246 0.934
2 Sc 0.750 0.746 0.566
3 Sc 0.250 0.254 0.434
4 Sc 0.250 0.754 0.066
5 Fe 0.250 0.142 0.141
6 Fe 0.750 0.358 0.641
7 Fe 0.750 0.094 0.484
8 Fe 0.250 0.310 0.750
9 Fe 0.993 0.567 0.807
10 Fe 0.007 0.433 0.193
11 Fe 0.250 0.048 0.911
12 Fe 0.250 0.810 0.750
13 Fe 0.750 0.594 0.016
14 Fe 0.250 0.548 0.589
15 Fe 0.493 0.433 0.193
16 Fe 0.750 0.858 0.859
17 Fe 0.750 0.952 0.089
18 Fe 0.493 0.933 0.307
19 Fe 0.250 0.406 0.984
20 Fe 0.250 0.642 0.359
21 Fe 0.993 0.067 0.693
22 Fe 0.250 0.906 0.516
23 Fe 0.507 0.567 0.807
24 Fe 0.750 0.190 0.250
25 Fe 0.007 0.933 0.307
26 Fe 0.750 0.452 0.411
27 Fe 0.507 0.067 0.693
28 Fe 0.750 0.690 0.250

DFT (GGA-PBE) results for a geometry-optimized Ho6HgS3 structure.

Properties
D(E_F): 0.63 states/eV per atom
E_form (uncorrected): -12.6 eV/f.u.

abc: 3.826 11.712 11.792
angles: 111.45 90.00 90.00
Element x y z (fractional)
1 Hg 0.750 0.623 0.879
2 Hg 0.250 0.377 0.121
3 Ho 0.250 0.064 0.768
4 Ho 0.750 0.364 0.896
5 Ho 0.750 0.758 0.660
6 Ho 0.750 0.147 0.551
7 Ho 0.250 0.636 0.104
8 Ho 0.250 0.479 0.662
9 Ho 0.750 0.936 0.232
10 Ho 0.250 0.844 0.937
11 Ho 0.250 0.242 0.340
12 Ho 0.750 0.521 0.338
13 Ho 0.250 0.853 0.449
14 Ho 0.750 0.156 0.063
15 S 0.750 0.724 0.277
16 S 0.750 0.369 0.496
17 S 0.250 0.631 0.504
18 S 0.750 0.959 0.859
19 S 0.250 0.041 0.141
20 S 0.250 0.276 0.723

DFT (GGA-PBE) results for a geometry-optimized ZrTi2Tl2 structure.

Properties
total energy: -5.710 eV/atom
D(E_F): 0.73 states/eV per atom

abc: 3.455 7.452 9.427
angles: 81.88 90.00 90.00
Element x y z (fractional)
1 Zr 0.750 0.302 0.771
2 Zr 0.250 0.698 0.229
3 Ti 0.750 0.641 0.986
4 Ti 0.250 0.613 0.760
5 Ti 0.750 0.387 0.240
6 Ti 0.250 0.359 0.014
7 Tl 0.750 0.036 0.141
8 Tl 0.250 0.964 0.859
9 Tl 0.250 0.312 0.498
10 Tl 0.750 0.688 0.502

DFT (GGA-PBE) results for a geometry-optimized BaTcW structure.

Properties
total energy: -7.702 eV/atom
D(E_F): 1.03 states/eV per atom

abc: 6.983 6.983 6.983
angles: 152.88 152.88 38.72
Element x y z (fractional)
1 Ba 0.998 0.998 0.000
2 W 0.709 0.709 0.000
3 Tc 0.293 0.293 0.000

DFT (GGA-PBE) results for a geometry-optimized SrPrAgHg structure.

Properties
total energy: -2.757 eV/atom
D(E_F): 1.01 states/eV per atom

abc: 5.486 5.486 5.486
angles: 60.00 60.00 60.00
Element x y z (fractional)
1 Hg 0.750 0.750 0.750
2 Ag 0.250 0.250 0.250
3 Sr 0.500 0.500 0.500
4 Pr 0.000 0.000 0.000

DFT (GGA-PBE) results for a geometry-optimized BaLaSn2Hg2 structure.

Properties
total energy: -3.171 eV/atom
D(E_F): 0.57 states/eV per atom

abc: 4.951 4.951 9.018
angles: 90.00 90.00 120.00
Element x y z (fractional)
1 Hg 0.667 0.333 0.316
2 Hg 0.333 0.667 0.684
3 Sn 0.333 0.667 0.256
4 Sn 0.667 0.333 0.744
5 Ba 0.000 0.000 0.000
6 La 0.000 0.000 0.500

DFT (GGA-PBE) results for a geometry-optimized In3Ga3Hg structure.

Properties
total energy: -2.470 eV/atom
D(E_F): 0.38 states/eV per atom

abc: 4.825 8.937 8.937
angles: 120.00 90.00 90.00
Element x y z (fractional)
1 In 0.750 0.447 0.087
2 In 0.250 0.360 0.447
3 In 0.750 0.640 0.553
4 In 0.250 0.087 0.640
5 In 0.250 0.553 0.913
6 In 0.750 0.913 0.360
7 Hg 0.750 0.333 0.667
8 Hg 0.250 0.667 0.333
9 Ga 0.750 0.797 0.969
10 Ga 0.250 0.969 0.172
11 Ga 0.750 0.172 0.203
12 Ga 0.750 0.031 0.828
13 Ga 0.250 0.203 0.031
14 Ga 0.250 0.828 0.797

DFT (GGA-PBE) results for a geometry-optimized TlInI2 structure.

Properties
D(E_F): 0.00 states/eV per atom
E_form (uncorrected): -2.2 eV/f.u.

abc: 4.845 4.845 9.081
angles: 74.53 74.53 60.00
Element x y z (fractional)
1 I 0.252 0.252 0.243
2 I 0.082 0.082 0.755
3 Tl 0.499 0.499 0.502
4 In 0.667 0.667 0.999

DFT (GGA-PBE) results for a geometry-optimized AsRuS2Cl structure.

Properties
D(E_F): 0.85 states/eV per atom
E_form (uncorrected): 2.3 eV/f.u.

abc: 4.591 4.591 4.729
angles: 90.00 90.00 90.00
Element x y z (fractional)
1 S 0.000 0.500 0.000
2 S 0.500 0.000 0.000
3 As 0.500 0.500 0.500
4 Ru 0.000 0.000 0.000
5 Cl 0.000 0.000 0.500

DFT (GGA-PBE) results for a geometry-optimized NaY3O structure.

Properties
D(E_F): 1.39 states/eV per atom
E_form (uncorrected): -4.4 eV/f.u.

abc: 4.930 4.930 4.930
angles: 90.00 90.00 90.00
Element x y z (fractional)
1 Na 0.500 0.500 0.500
2 O 0.000 0.000 0.000
3 Y 0.500 0.000 0.000
4 Y 0.000 0.000 0.500
5 Y 0.000 0.500 0.000

DFT (GGA-PBE) results for a geometry-optimized ZrInRu2 structure.

Properties
total energy: -7.671 eV/atom
D(E_F): 0.66 states/eV per atom

abc: 5.307 5.307 4.615
angles: 70.57 70.57 34.66
Element x y z (fractional)
1 Ru 0.991 0.991 0.949
2 Ru 0.263 0.263 0.297
3 Zr 0.508 0.508 0.445
4 In 0.737 0.737 0.809

DFT (GGA-PBE) results for a geometry-optimized KCd2As structure.

Properties
total energy: -1.950 eV/atom
D(E_F): 0.34 states/eV per atom

abc: 6.902 6.902 5.693
angles: 65.58 65.58 26.03
Element x y z (fractional)
1 As 0.250 0.250 0.250
2 Cd 0.546 0.546 0.454
3 Cd 0.954 0.954 0.046
4 K 0.750 0.750 0.750

DFT (GGA-PBE) results for a geometry-optimized YRhBr structure.

Properties
D(E_F): 0.25 states/eV per atom
E_form (uncorrected): -3.6 eV/f.u.

abc: 4.265 4.265 10.923
angles: 78.74 78.74 60.00
Element x y z (fractional)
1 Br 0.278 0.278 0.165
2 Br 0.722 0.722 0.835
3 Rh 0.165 0.165 0.504
4 Rh 0.835 0.835 0.496
5 Y 0.556 0.556 0.331
6 Y 0.444 0.444 0.669

DFT (GGA-PBE) results for a geometry-optimized BaLiCuF6 structure.

Properties
E_form (uncorrected): -23.4 eV/f.u.

abc: 5.300 5.300 5.581
angles: 90.00 90.00 59.99
Element x y z (fractional)
1 Ba 0.000 0.000 0.000
2 F 0.390 0.628 0.300
3 F 0.982 0.628 0.700
4 F 0.390 0.982 0.700
5 F 0.982 0.390 0.300
6 F 0.628 0.390 0.700
7 F 0.628 0.982 0.300
8 Cu 0.667 0.667 0.500
9 Li 0.333 0.333 0.500

DFT (GGA-PBE) results for a geometry-optimized Li2CaTa structure.

Properties
total energy: -3.622 eV/atom
D(E_F): 1.19 states/eV per atom

abc: 4.921 4.921 4.921
angles: 60.00 60.00 60.00
Element x y z (fractional)
1 Ca 0.000 0.000 0.000
2 Ta 0.500 0.500 0.500
3 Li 0.250 0.250 0.250
4 Li 0.750 0.750 0.750

DFT (GGA-PBE) results for a geometry-optimized Rb2CoIrW structure.

Properties
total energy: -4.166 eV/atom
D(E_F): 2.12 states/eV per atom

abc: 6.902 4.655 6.902
angles: 90.00 90.00 90.00
Element x y z (fractional)
1 Co 0.500 0.500 0.500
2 Ir 0.000 0.500 0.000
3 Rb 0.000 0.000 0.500
4 Rb 0.500 0.000 0.000
5 W 0.000 0.000 0.000

DFT (GGA-PBE) results for a geometry-optimized Zn2CrBP structure.

Properties
total energy: -3.583 eV/atom
D(E_F): 0.61 states/eV per atom

abc: 4.776 4.287 4.776
angles: 90.00 90.00 90.00
Element x y z (fractional)
1 P 0.000 0.500 0.000
2 B 0.500 0.500 0.500
3 Cr 0.000 0.000 0.000
4 Zn 0.500 0.000 0.000
5 Zn 0.000 0.000 0.500

DFT (GGA-PBE) results for a geometry-optimized Pr4PSBr2 structure.

Properties
D(E_F): 0.54 states/eV per atom
E_form (uncorrected): -12.5 eV/f.u.

abc: 4.198 7.198 7.724
angles: 108.38 90.00 90.00
Element x y z (fractional)
1 Pr 0.500 0.765 0.799
2 Pr 0.000 0.269 0.802
3 Pr 0.500 0.235 0.201
4 Pr 0.000 0.731 0.198
5 S 0.500 0.500 0.000
6 P 0.000 0.000 0.000
7 Br 0.000 0.500 0.500
8 Br 0.500 0.000 0.500